# PBE Pm8TeIr3I4, optimized geometry
data_Pm8TeIr3I4
_chemical_formula_sum 'Pm24 Te3 Ir9 I12'
_cell_length_a 8.6414
_cell_length_b 8.6414
_cell_length_c 23.8824
_cell_angle_alpha 90.00
_cell_angle_beta 90.00
_cell_angle_gamma 120.00
_symmetry_space_group_name_H-M 'R -3 m'
_symmetry_Int_Tables_number 166
_symmetry_space_group_name_Hall '-R 3 2"'
loop_
_atom_site_label
_atom_site_fract_x
_atom_site_fract_y
_atom_site_fract_z
_atom_site_occupancy
Pm1 0.0000 0.0000 0.2277 1
Pm2 0.0310 0.5155 0.7702 1
Te1 0.0000 0.0000 0.5000 1
Ir1 0.0000 0.5000 0.5000 1
I1 0.0000 0.0000 0.0000 1
I2 0.0000 0.5000 0.0000 1
# **Energy relative to the elements, uncorrected**: -0.99 eV/atom